[1]
VASP calculation (SCAN) on a PBEsol-optimized structure of Y.

The structure in POSCAR format:
```
Y
1.0
-2.5575 -1.8576 -1.3844
3.6377 -2.5612 -3.2836
-1.1779 -2.0908 4.9816
Y
3
Cartesian
0.7521 -3.3344 -1.2217
0.0000 0.0000 0.0000
-0.8498 -3.1752 1.5352
```

ΔE to the lowest computed polymorph = 62 meV/atom
M_tot = 0.899 μB per cell
formation energy from the elements = 0.0621 eV/atom
space-group type = P6/mmm, No. 191

=====

[2]
VASP calculation (SCAN) on a PBEsol-optimized structure of Y2Zn.

The structure in POSCAR format:
```
Y2Zn
1.0
9.4646 0.0000 0.0000
4.7323 8.1966 0.0000
4.7323 2.7322 7.7278
Y Zn
16 8
Cartesian
9.4646 2.7322 4.8299
11.8307 6.8305 4.8299
4.7323 0.7010 0.4957
6.4913 7.1810 1.4362
9.4646 8.8976 6.2915
9.4646 5.4644 0.9660
6.4913 1.7166 3.3682
2.9732 3.7478 0.4957
2.9732 1.7166 3.3682
7.0984 6.8305 4.8299
12.4378 7.1810 1.4362
4.7323 4.7633 3.3682
6.4913 3.7478 6.2915
12.4378 3.7478 6.2915
6.4913 3.7478 0.4957
9.4646 2.0312 1.4362
15.8765 9.1663 6.4816
14.1969 8.1966 3.7387
11.1442 4.4946 3.1782
9.4646 7.4039 3.1782
12.5172 9.1663 6.4816
7.7849 4.4946 3.1782
9.4646 5.4644 5.9210
14.1969 6.2571 6.4816
```

M_tot = 0.000 μB per cell
formation energy from the elements = -0.2682 eV/atom
space-group type = Fd-3m, No. 227

=====

[3]
VASP calculation (SCAN) on a PBEsol-optimized structure of Y3Zn.

The structure in POSCAR format:
```
Y3Zn
1.0
6.4873 0.0000 0.0000
0.0000 6.7520 0.0000
0.0000 0.0000 9.8136
Zn Y
4 12
Cartesian
0.3518 6.1274 2.4534
3.5954 4.0005 7.3602
6.1355 0.6245 7.3602
2.8918 2.7514 2.4534
1.2119 1.2959 4.4371
4.0235 0.0072 2.4534
5.7074 3.3832 2.4534
2.0317 4.6719 4.4371
4.4555 2.0801 9.3439
0.7798 3.3688 7.3602
5.2754 5.4561 9.3439
5.2754 5.4561 5.3765
4.4555 2.0801 5.3765
2.0317 4.6719 0.4697
2.4638 6.7447 7.3602
1.2119 1.2959 0.4697
```

M_tot = 0.006 μB per cell
formation energy from the elements = -0.1904 eV/atom
space-group type = Pnma, No. 62

=====

Copy entry 1 word for word.
VASP calculation (SCAN) on a PBEsol-optimized structure of Y.

The structure in POSCAR format:
```
Y
1.0
-2.5575 -1.8576 -1.3844
3.6377 -2.5612 -3.2836
-1.1779 -2.0908 4.9816
Y
3
Cartesian
0.7521 -3.3344 -1.2217
0.0000 0.0000 0.0000
-0.8498 -3.1752 1.5352
```

ΔE to the lowest computed polymorph = 62 meV/atom
M_tot = 0.899 μB per cell
formation energy from the elements = 0.0621 eV/atom
space-group type = P6/mmm, No. 191